(1)
Below is a geometry-optimized SrRh2 structure, with properties calculated at the PBEsol level.

Output
M_tot = 0.0 μB/cell
Energy = -6.23 eV/atom
Mass density = 8.8 Mg/m³
Crystal system = cubic

Cell: 5.388 5.388 5.388 Å, 60.00 60.00 60.00°
Sites, in units of the cell vectors:
1 Sr 0.750 0.750 0.750
2 Sr 0.500 0.500 0.500
3 Rh 0.125 0.125 0.625
4 Rh 0.125 0.625 0.125
5 Rh 0.125 0.125 0.125
6 Rh 0.625 0.125 0.125

***

(2)
Below is a geometry-optimized Tl2InIr structure, with properties calculated at the PBEsol level.

Output
M_tot = 0.0 μB/cell
Excess energy over the best structure of this formula in the dataset = 0.000 eV per formula unit
Energy = -4.41 eV/atom
Mass density = 12.5 Mg/m³
Crystal system = orthorhombic

Cell: 3.035 4.509 7.473 Å, 107.56 101.72 90.00°
Sites, in units of the cell vectors:
1 In 0.500 0.000 0.000
2 Ir 0.000 0.500 0.000
3 Tl 0.680 0.680 0.360
4 Tl 0.320 0.320 0.640

***

(3)
Below is a geometry-optimized CuBSbMo2 structure, with properties calculated at the PBEsol level.

Output
M_tot = 0.0 μB/cell
Energy relative to the elements, uncorrected = 108.2 kJ/mol of atoms
Energy = -6.77 eV/atom
Mass density = 8.3 Mg/m³
Crystal system = tetragonal

Cell: 3.554 4.683 4.683 Å, 90.00 90.00 90.00°
Sites, in units of the cell vectors:
1 Sb 0.500 0.500 0.500
2 Mo 0.000 0.000 0.500
3 Mo 0.000 0.500 0.000
4 B 0.500 0.000 0.000
5 Cu 0.000 0.000 0.000